Record 1
VASP calculation (PBE-GGA) on crystalline CeTm2Hg at its relaxed geometry.

a = 10.6510 Å, b = 10.6510 Å, c = 10.6510 Å
α = 19.03°, β = 19.03°, γ = 19.03°
Last column: nearest neighbours and their distance in Å.
Fractional coordinates of all 4 atoms:
1 Ce 0.0000 0.0000 0.0000  6 Tm 3.48, 6 Ce 3.52
2 Tm 0.2434 0.2434 0.2434  3 Hg 3.15, 3 Ce 3.48, 6 Tm 3.52
3 Tm 0.7566 0.7566 0.7566  3 Hg 3.15, 3 Ce 3.48, 6 Tm 3.52
4 Hg 0.5000 0.5000 0.5000  6 Tm 3.15, 6 Hg 3.52

Results
Fermi-level density of states ... 6.3 states/eV/f.u.
Polymorph energy (0 for the lowest one) ... 59 meV/atom
ΔE_f ... -0.14 eV per atom

Record 2
VASP calculation (PBE-GGA) on crystalline CeTm2Hg at its relaxed geometry.

a = 5.2661 Å, b = 5.2661 Å, c = 5.2661 Å
α = 60.00°, β = 60.00°, γ = 60.00°
Last column: nearest neighbours and their distance in Å.
Fractional coordinates of all 4 atoms:
1 Ce 0.0000 0.0000 0.0000  8 Tm 3.22
2 Tm 0.2500 0.2500 0.2500  4 Hg 3.22, 4 Ce 3.22
3 Tm 0.7500 0.7500 0.7500  4 Ce 3.22, 4 Hg 3.22
4 Hg 0.5000 0.5000 0.5000  8 Tm 3.22

Results
Fermi-level density of states ... 7.0 states/eV/f.u.
Polymorph energy (0 for the lowest one) ... 218 meV/atom
ΔE_f ... 0.02 eV per atom

| no. | ρ (Mg/m³) |
| --- | --- |
| 1 | 10.03 |
| 2 | 10.91 |